# Li4BeTe, optimized geometry, DFT PBE
# E_tot (eV/cell): -54.88
# Crystal system: cubic
# Uncorrected formation energy (eV per atom): 0.13
data_Li4BeTe
_chemical_formula_sum 'Li16 Be4 Te4'
_symmetry_space_group_name_H-M 'F -4 3 m'
_symmetry_Int_Tables_number 216
_symmetry_space_group_name_Hall 'F -4 2 3'
_cell_length_a 7.504
_cell_length_b 7.504
_cell_length_c 7.504
_cell_angle_alpha 90.00
_cell_angle_beta 90.00
_cell_angle_gamma 90.00
loop_
_atom_site_label
_atom_site_fract_x
_atom_site_fract_y
_atom_site_fract_z
Li1 0.124 0.124 0.376
Be1 0.250 0.250 0.750
Te1 0.000 0.000 0.000